[1]
# TiFe4W, optimized geometry, DFT GGA-PBE
# **E_form**: -111 meV per atom
# **Volume**: 301 Å³ per cell
# **VASP energy**: -9.23 eV/atom
# **Total magnetization**: 0.895 μB per atom
# **Crystal system**: cubic
data_TiFe4W
_space_group_name_H-M_alt 'F -4 3 m'
_space_group_IT_number 216
_space_group_name_Hall 'F -4 2 3'
_cell_length_a 6.7023
_cell_length_b 6.7023
_cell_length_c 6.7023
_cell_angle_alpha 90.00
_cell_angle_beta 90.00
_cell_angle_gamma 90.00
loop_
_atom_site_label
_atom_site_fract_x
_atom_site_fract_y
_atom_site_fract_z
_atom_site_occupancy
Ti1 0.0000 0.0000 0.0000 1
Fe1 0.1251 0.1251 0.6251 1
W1 0.2500 0.2500 0.2500 1

=====

[2]
# InTcPt2, optimized geometry, DFT GGA-PBE
# **E_form**: -47 meV per atom
# **Volume**: 131 Å³ per cell
# **VASP energy**: -6.34 eV/atom
# **Total magnetization**: 0.000 μB per atom
# **Crystal system**: tetragonal
data_InTcPt2
_space_group_name_H-M_alt 'I 4/m m m'
_space_group_IT_number 139
_space_group_name_Hall '-I 4 2'
_cell_length_a 4.0288
_cell_length_b 4.0288
_cell_length_c 8.0749
_cell_angle_alpha 90.00
_cell_angle_beta 90.00
_cell_angle_gamma 90.00
loop_
_atom_site_label
_atom_site_fract_x
_atom_site_fract_y
_atom_site_fract_z
_atom_site_occupancy
In1 0.0000 0.0000 0.0000 1
Tc1 0.0000 0.0000 0.5000 1
Pt1 0.0000 0.5000 0.2500 1

=====

[3]
# TbZn10Rh2, optimized geometry, DFT GGA-PBE
# **E_form**: -264 meV per atom
# **Volume**: 833 Å³ per cell
# **VASP energy**: -2.73 eV/atom
# **Total magnetization**: 0.000 μB per atom
# **Crystal system**: orthorhombic
data_TbZn10Rh2
_space_group_name_H-M_alt 'F m m m'
_space_group_IT_number 69
_space_group_name_Hall '-F 2 2'
_cell_length_a 5.4665
_cell_length_b 12.3451
_cell_length_c 12.3455
_cell_angle_alpha 90.00
_cell_angle_beta 90.00
_cell_angle_gamma 90.00
loop_
_atom_site_label
_atom_site_fract_x
_atom_site_fract_y
_atom_site_fract_z
_atom_site_occupancy
Tb1 0.0000 0.0000 0.0000 1
Zn1 0.0000 0.1084 0.3907 1
Zn2 0.0000 0.1694 0.1785 1
Zn3 0.2500 0.2500 0.0000 1
Rh1 0.2500 0.0000 0.2500 1

=====

What did the third record say?
# TbZn10Rh2, optimized geometry, DFT GGA-PBE
# **E_form**: -264 meV per atom
# **Volume**: 833 Å³ per cell
# **VASP energy**: -2.73 eV/atom
# **Total magnetization**: 0.000 μB per atom
# **Crystal system**: orthorhombic
data_TbZn10Rh2
_space_group_name_H-M_alt 'F m m m'
_space_group_IT_number 69
_space_group_name_Hall '-F 2 2'
_cell_length_a 5.4665
_cell_length_b 12.3451
_cell_length_c 12.3455
_cell_angle_alpha 90.00
_cell_angle_beta 90.00
_cell_angle_gamma 90.00
loop_
_atom_site_label
_atom_site_fract_x
_atom_site_fract_y
_atom_site_fract_z
_atom_site_occupancy
Tb1 0.0000 0.0000 0.0000 1
Zn1 0.0000 0.1084 0.3907 1
Zn2 0.0000 0.1694 0.1785 1
Zn3 0.2500 0.2500 0.0000 1
Rh1 0.2500 0.0000 0.2500 1

=====

> Look up the E_form of the second one.

-47 meV per atom